1.
Below is CeSmH after structural relaxation, with properties calculated at the PBE-GGA level.

For the offset from the most stable computed form, the calculation gives 0.105 eV/atom. As for the calculated volume: 22.53 Å³ per atom.

The space group is I4mm (No. 107) and the conventional cell measures 3.3405, 3.3405 and 12.1170 Å, with angles of 90.00, 90.00 and 90.00 degrees. The distinct sites, in fractional coordinates, are Ce at (0.0000, 0.0000, 0.0000), Sm at (0.0000, 0.0000, 0.7161) and H at (0.0000, 0.0000, 0.1874).

2.
Below is ZnBi2F8 after structural relaxation, with properties calculated at the PBE-GGA level.

As for the calculated volume: 14.87 Å³ per atom. The uncorrected formation energy is -26.5 eV per formula unit.

The space group is P-1 (No. 2) and the conventional cell measures 4.7292, 6.1915 and 6.2034 Å, with angles of 73.03, 74.23 and 74.33 degrees. The distinct sites, in fractional coordinates, are Zn at (0.0000, 0.0000, 0.0000), Bi at (0.3545, 0.3231, 0.3230), F at (0.1706, 0.5866, 0.5857), F at (0.2405, 0.1296, 0.1299), F at (0.2660, 0.6671, 0.0443) and F at (0.2668, 0.0447, 0.6674).

3.
Below is Ca2ScIn after structural relaxation, with properties calculated at the PBE-GGA level.

The calculation puts the formation enthalpy at 0 K at 176 meV/atom. As for the calculated volume: 31.58 Å³ per atom.

The space group is I-42d (No. 122) and the conventional cell measures 8.8066, 8.8066 and 6.5144 Å, with angles of 90.00, 90.00 and 90.00 degrees. The distinct sites, in fractional coordinates, are Ca at (0.2258, 0.2500, 0.1250), Sc at (0.0000, 0.0000, 0.5000) and In at (0.0000, 0.0000, 0.0000).

4.
Below is PmNd4Mg5 after structural relaxation, with properties calculated at the PBE-GGA level.

The calculation puts the formation enthalpy at 0 K at -110 meV/atom. As for the calculated volume: 29.31 Å³ per atom.

The space group is P4/mmm (No. 123) and the conventional cell measures 3.8797, 3.8797 and 19.4710 Å, with angles of 90.00, 90.00 and 90.00 degrees. The distinct sites, in fractional coordinates, are Pm at (0.0000, 0.0000, 0.0000), Nd at (0.0000, 0.0000, 0.1986), Nd at (0.0000, 0.0000, 0.3993), Mg at (0.5000, 0.5000, 0.0986), Mg at (0.5000, 0.5000, 0.2986) and Mg at (0.5000, 0.5000, 0.5000).

5.
Below is Sr2LaMn after structural relaxation, with properties calculated at the PBE-GGA level.

For the offset from the most stable computed form, the calculation gives 0.000 eV/atom. The calculation puts the formation enthalpy at 0 K at 244 meV/atom. As for the calculated volume: 38.28 Å³ per atom.

The space group is Pm (No. 6) and the conventional cell measures 3.9021, 3.9097 and 10.0359 Å, with angles of 90.00, 90.05 and 90.00 degrees. The distinct sites, in fractional coordinates, are Sr at (0.0000, 0.0000, 0.0000), Sr at (0.4979, 0.5000, 0.3311), La at (0.9982, 0.0000, 0.6352) and Mn at (0.4989, 0.5000, 0.7924).

6.
Below is TiZn2Sn2 after structural relaxation, with properties calculated at the PBE-GGA level.

For the offset from the most stable computed form, the calculation gives 0.038 eV/atom. The calculation puts the formation enthalpy at 0 K at 130 meV/atom. As for the calculated volume: 20.75 Å³ per atom.

The space group is I4/mmm (No. 139) and the conventional cell measures 3.6234, 3.6234 and 15.8015 Å, with angles of 90.00, 90.00 and 90.00 degrees. The distinct sites, in fractional coordinates, are Ti at (0.0000, 0.0000, 0.0000), Zn at (0.0000, 0.5000, 0.2500) and Sn at (0.0000, 0.0000, 0.4032).

7.
Below is TlRuRh2 after structural relaxation, with properties calculated at the PBE-GGA level.

For the offset from the most stable computed form, the calculation gives 0.185 eV/atom. The calculation puts the formation enthalpy at 0 K at 400 meV/atom. As for the calculated volume: 16.52 Å³ per atom.

The space group is Fm-3m (No. 225) and the conventional cell measures 6.4175, 6.4175 and 6.4175 Å, with angles of 90.00, 90.00 and 90.00 degrees. The distinct sites, in fractional coordinates, are Tl at (0.0000, 0.0000, 0.0000), Ru at (0.0000, 0.0000, 0.5000) and Rh at (0.2500, 0.2500, 0.2500).

8.
Below is RbCuBr2Cl after structural relaxation, with properties calculated at the PBE-GGA level.

For the offset from the most stable computed form, the calculation gives 0.000 eV/atom. As for the calculated volume: 26.64 Å³ per atom. The uncorrected formation energy is -4.6 eV per formula unit.

The space group is P4/mmm (No. 123) and the conventional cell measures 5.2120, 5.2120 and 4.9024 Å, with angles of 90.00, 90.00 and 90.00 degrees. The distinct sites, in fractional coordinates, are Rb at (0.0000, 0.0000, 0.0000), Cu at (0.5000, 0.5000, 0.5000), Br at (0.0000, 0.5000, 0.5000) and Cl at (0.5000, 0.5000, 0.0000).

9.
Below is LiAl2In after structural relaxation, with properties calculated at the PBE-GGA level.

The calculation puts the formation enthalpy at 0 K at 110 meV/atom. As for the calculated volume: 20.33 Å³ per atom.

The space group is I-42d (No. 122) and the conventional cell measures 4.0214, 4.0214 and 20.1172 Å, with angles of 90.00, 90.00 and 90.00 degrees. The distinct sites, in fractional coordinates, are Li at (0.0000, 0.0000, 0.0000), Al at (0.2368, 0.2500, 0.1250) and In at (0.0000, 0.0000, 0.5000).

10.
Below is Li3YZn9 after structural relaxation, with properties calculated at the PBE-GGA level.

The calculation puts the formation enthalpy at 0 K at -206 meV/atom. As for the calculated volume: 15.51 Å³ per atom.

The space group is C2/m (No. 12) and the conventional cell measures 4.8730, 12.8883 and 6.8266 Å, with angles of 90.00, 109.85 and 90.00 degrees. The distinct sites, in fractional coordinates, are Li at (0.0000, 0.0000, 0.0000), Li at (0.2500, 0.2500, 0.5000), Y at (0.0000, 0.0000, 0.5000), Zn at (0.0000, 0.5000, 0.0000), Zn at (0.1057, 0.3895, 0.7163) and Zn at (0.1625, 0.1775, 0.8516).

11.
Below is ThPa2Hg after structural relaxation, with properties calculated at the PBE-GGA level.

For the offset from the most stable computed form, the calculation gives 0.167 eV/atom. The calculation puts the formation enthalpy at 0 K at 298 meV/atom. As for the calculated volume: 26.14 Å³ per atom.

The space group is Fm-3m (No. 225) and the conventional cell measures 7.4787, 7.4787 and 7.4787 Å, with angles of 90.00, 90.00 and 90.00 degrees. The distinct sites, in fractional coordinates, are Th at (0.0000, 0.0000, 0.0000), Pa at (0.2500, 0.2500, 0.2500) and Hg at (0.0000, 0.0000, 0.5000).

12.
Below is Cs2SiCl5 after structural relaxation, with properties calculated at the PBE-GGA level.

As for the calculated volume: 36.26 Å³ per atom. The uncorrected formation energy is -11.5 eV per formula unit.

The space group is I4mm (No. 107) and the conventional cell measures 7.7224, 7.7224 and 9.7280 Å, with angles of 90.00, 90.00 and 90.00 degrees. The distinct sites, in fractional coordinates, are Cs at (0.0000, 0.5000, 0.0000), Si at (0.0000, 0.0000, 0.2321), Cl at (0.0000, 0.0000, 0.0112) and Cl at (0.2156, 0.2156, 0.2523).

13.
Below is KZrSb2Te after structural relaxation, with properties calculated at the PBE-GGA level.

For the offset from the most stable computed form, the calculation gives 1.637 eV/atom. As for the calculated volume: 35.05 Å³ per atom. The uncorrected formation energy is 6.6 eV per formula unit.

The space group is P4/mmm (No. 123) and the conventional cell measures 5.5369, 5.5369 and 5.7165 Å, with angles of 90.00, 90.00 and 90.00 degrees. The distinct sites, in fractional coordinates, are K at (0.0000, 0.0000, 0.0000), Zr at (0.5000, 0.5000, 0.5000), Sb at (0.0000, 0.5000, 0.0000) and Te at (0.0000, 0.0000, 0.5000).